VASP calculation (PBE+U) on a geometry-optimized CrFe2SbO6 structure.

Unit cell a=5.2589 b=5.2919 c=5.5459 alpha=90.27 beta=118.29 gamma=119.68
Last column: nearest neighbours and their distance in Å.
Fractional coordinates of all 10 atoms:
Cr: 0.0000 0.0000 0.0000  6 O 2.01-2.09
Fe: 0.4193 0.2045 0.6296  6 O 2.05-2.29
Fe: 0.4191 0.7080 0.1333  6 O 2.06-2.29
Sb: 0.0018 0.5007 0.5033  6 O 1.99-2.06
O: 0.1546 0.8778 0.7798  1 Cr 2.01, 1 Sb 2.05, 1 Fe 2.09
O: 0.1603 0.7751 0.2855  1 Sb 2.01, 1 Fe 2.06, 1 Cr 2.09
O: 0.5012 0.6253 0.7939  1 Cr 2.03, 1 Sb 2.05, 2 Fe 2.15-2.21
O: 0.5095 0.3804 0.2819  1 Sb 1.99, 1 Cr 2.08, 1 Fe 2.09
O: 0.8964 0.2769 0.7808  1 Cr 2.03, 1 Fe 2.05, 1 Sb 2.06
O: 0.9206 0.1309 0.2979  1 Sb 2.00, 1 Cr 2.08, 2 Fe 2.16-2.20

Results
The value obtained for the total DFT energy (no corrections) is -6.81 eV/atom. Its volume is 11.21 A^3/atom. The total moment is 5.0 μB per formula unit.